Material: Ac8PdPt3Se4
Method: DFT, PBE
State: relaxed

Lattice parameters (Å, degrees): 8.7220 8.7220 23.3750 90.00 90.00 120.00
Space group R-3m (No. 166, hexagonal axes)
Inequivalent atoms, fractional coordinates:
Ac: 0.0000 0.0000 0.2421 [6 per cell]
Ac: 0.0022 0.5011 0.7573 [18 per cell]
Pd: 0.0000 0.0000 0.5000 [3 per cell]
Pt: 0.0000 0.5000 0.5000 [9 per cell]
Se: 0.0000 0.0000 0.0000 [3 per cell]
Se: 0.0000 0.5000 0.0000 [9 per cell]

The value obtained for the density of states at the Fermi level is 4.978 states/eV/f.u. The value obtained for the total magnetization is 0.00 μB per formula unit. Its energy relative to the elements, uncorrected is -1.466 eV per atom.

---

Material: AcSiPdPt6
Method: DFT, PBE
State: relaxed

Lattice parameters (Å, degrees): 7.1396 8.9308 11.5444 90.00 90.00 90.00
Space group Imma (No. 74)
Inequivalent atoms, fractional coordinates:
Ac: 0.0000 0.2500 0.1633 [4 per cell]
Si: 0.0000 0.0000 0.5000 [4 per cell]
Pd: 0.2500 0.2500 0.7500 [4 per cell]
Pt: 0.0000 0.2500 0.4203 [4 per cell]
Pt: 0.0000 0.2500 0.9089 [4 per cell]
Pt: 0.2430 0.0125 0.8785 [16 per cell]

The value obtained for the density of states at the Fermi level is 5.113 states/eV/f.u. The value obtained for the total magnetization is 0.00 μB per formula unit. Its energy relative to the elements, uncorrected is -0.280 eV per atom.